Here is a relaxed PmNd7Sc3 crystal from Alexandria. Energies are from GGA-PBE.

Lattice parameters (Å, degrees): 5.8706 8.3977 8.3977 86.21 110.47 110.47
Closest atoms and distances in Å follow each position.
Positions (direct):
Sc1 0.0000 0.2097 0.7903  9 Nd 3.20-3.57
Nd1 0.0000 0.5000 0.5000  2 Pm 2.94
Nd2 0.6893 0.9807 0.3981  2 Sc 3.15-3.47, 2 Nd 3.35
Sc2 0.0000 0.7903 0.2097  9 Nd 3.20-3.57
Sc3 0.5000 0.0000 0.0000  4 Nd 3.15
Nd3 0.8042 0.8042 0.8042  2 Sc 3.20, 1 Pm 3.27, 2 Nd 3.56
Nd4 0.6893 0.3981 0.9807  2 Sc 3.15-3.47, 2 Nd 3.35
Nd5 0.3107 0.6019 0.0193  2 Sc 3.15-3.47, 2 Nd 3.35
Nd6 0.1958 0.1958 0.1958  2 Sc 3.20, 1 Pm 3.27, 2 Nd 3.56
Pm1 0.5000 0.5000 0.5000  4 Nd 2.94-3.27
Nd7 0.3107 0.0193 0.6019  2 Sc 3.15-3.47, 2 Nd 3.35

## Properties
Calculated formation energy   0.228 eV/atom
Crystal system   orthorhombic
Raw total energy   -4.965 eV/atom